# PBE-GGA Tb7As5S, optimized geometry
# Space group ... Cm, No. 8
# VASP energy ... -6.01 eV/atom
# Formation energy without anion corrections ... -1.413 eV per atom
# Calculated volume ... 25.51 Å³ per atom
data_Tb7As5S
_space_group_name_H-M_alt 'P 1'
_space_group_IT_number 1
_cell_length_a 4.067
_cell_length_b 7.061
_cell_length_c 24.120
_cell_angle_alpha 91.06
_cell_angle_beta 90.00
_cell_angle_gamma 106.74
loop_
_space_group_symop_operation_xyz
'x,y,z'
loop_
_atom_site_label
_atom_site_fract_x
_atom_site_fract_y
_atom_site_fract_z
Tb1 0.446 0.893 0.250
Tb2 0.553 0.107 0.750
Tb3 0.640 0.280 0.036
Tb4 0.362 0.724 0.964
Tb5 0.364 0.727 0.536
Tb6 0.635 0.270 0.464
Tb7 0.185 0.370 0.179
Tb8 0.817 0.635 0.821
Tb9 0.821 0.641 0.677
Tb10 0.179 0.358 0.323
Tb11 0.918 0.837 0.104
Tb12 0.084 0.168 0.896
Tb13 0.090 0.181 0.607
Tb14 0.908 0.816 0.393
As1 0.001 0.002 0.000
As2 0.726 0.451 0.924
As3 0.277 0.554 0.076
As4 0.542 0.084 0.353
As5 0.457 0.915 0.647
As6 0.999 0.999 0.500
As7 0.271 0.542 0.426
As8 0.728 0.456 0.574
As9 0.451 0.902 0.852
As10 0.552 0.103 0.148
S1 0.801 0.602 0.265
S2 0.200 0.399 0.736